1.
Material: Pr2IrPt
Method: DFT, GGA-PBE
State: relaxed

Output
Space group: No. 166

Cell lengths 7.2621, 7.2621, 7.2621 Å; angles 33.67, 33.67, 33.67 degrees
With the nearest neighbours (Å) after each atom.
Sites, in units of the cell vectors:
Pr1 0.2464 0.2464 0.2464  3 Ir 2.93, 3 Pt 3.01
Pr2 0.7536 0.7536 0.7536  3 Ir 2.93, 3 Pt 3.01
Ir1 0.5000 0.5000 0.5000  6 Pr 2.93
Pt1 0.0000 0.0000 0.0000  6 Pr 3.01



2.
Material: Tb5PrHo2Th
Method: DFT, GGA-PBE
State: relaxed

Output
Space group: No. 36

Cell lengths 10.4732, 10.4732, 10.3905 Å; angles 90.00, 90.00, 148.67 degrees
With the nearest neighbours (Å) after each atom.
Sites, in units of the cell vectors:
Tb1 0.0162 0.9838 0.5000  2 Pr 3.28, 4 Ho 3.35-3.65, 2 Tb 3.60
Tb2 0.2748 0.7252 0.2041  1 Pr 3.05, 1 Ho 3.26, 2 Tb 3.37
Tb3 0.2969 0.7031 0.8135  4 Tb 3.37-3.77, 3 Th 3.47-3.75, 3 Ho 3.55-3.68, 1 Pr 3.61
Tb4 0.3876 0.6124 0.4964  6 Tb 3.50-3.84, 4 Ho 3.54-3.55, 1 Th 3.80
Tb5 0.4769 0.5231 0.7855  2 Pr 3.10-3.32, 2 Ho 3.47
Tb6 0.5231 0.4769 0.2855  2 Pr 3.10-3.32, 2 Ho 3.47
Tb7 0.6124 0.3876 0.9964  6 Tb 3.50-3.84, 4 Ho 3.54-3.55, 1 Th 3.80
Tb8 0.7031 0.2969 0.3135  4 Tb 3.37-3.77, 3 Th 3.47-3.75, 3 Ho 3.55-3.68, 1 Pr 3.61
Tb9 0.7252 0.2748 0.7041  1 Pr 3.05, 1 Ho 3.26, 2 Tb 3.37
Tb10 0.9838 0.0162 0.0000  2 Pr 3.28, 4 Ho 3.35-3.65, 2 Tb 3.60
Pr1 0.4118 0.5882 0.0794  5 Tb 3.05-3.32
Pr2 0.5882 0.4118 0.5794  5 Tb 3.05-3.32
Ho1 0.1132 0.8868 0.2029  8 Tb 3.26-3.55, 1 Th 3.60
Ho2 0.1149 0.8851 0.7919  7 Tb 3.42-3.71, 1 Th 3.42, 2 Pr 3.63
Ho3 0.8851 0.1149 0.2919  7 Tb 3.42-3.71, 1 Th 3.42, 2 Pr 3.63
Ho4 0.8868 0.1132 0.7029  8 Tb 3.26-3.55, 1 Th 3.60
Th1 0.1990 0.8010 0.5062  2 Ho 3.42-3.60, 8 Tb 3.47-3.80, 2 Pr 3.68
Th2 0.8010 0.1990 0.0062  2 Ho 3.42-3.60, 8 Tb 3.47-3.80, 2 Pr 3.68



3.
Material: PaPbO3
Method: DFT, GGA-PBE
State: relaxed

Output
Formation energy without anion corrections: -1222 kJ/mol of formula units
Space group: No. 63

Cell lengths 6.1377, 6.1377, 8.8380 Å; angles 90.00, 90.00, 90.00 degrees
With the nearest neighbours (Å) after each atom.
Sites, in units of the cell vectors:
Pa1 0.0000 0.5000 0.0000  6 O 2.21-2.24
Pa2 0.0000 0.5000 0.5000  6 O 2.21-2.24
Pa3 0.5000 0.0000 0.0000  6 O 2.21-2.24
Pa4 0.5000 0.0000 0.5000  6 O 2.21-2.24
Pb1 0.9997 0.0003 0.2500  4 O 2.73-2.74
Pb2 0.0003 0.9997 0.7500  4 O 2.73-2.74
Pb3 0.5002 0.4998 0.2500  4 O 2.73
Pb4 0.4998 0.5002 0.7500  4 O 2.73
O1 0.0000 0.4990 0.7500  2 Pa 2.21
O2 0.0000 0.5010 0.2500  2 Pa 2.21
O3 0.1854 0.8146 0.5006  2 Pa 2.24
O4 0.1854 0.8146 0.9994  2 Pa 2.24
O5 0.3146 0.3146 0.0000  2 Pa 2.24
O6 0.3146 0.3146 0.5000  2 Pa 2.24
O7 0.4990 0.0000 0.2500  2 Pa 2.21
O8 0.5010 0.0000 0.7500  2 Pa 2.21
O9 0.6854 0.6854 0.0000  2 Pa 2.24
O10 0.6854 0.6854 0.5000  2 Pa 2.24
O11 0.8146 0.1854 0.0006  2 Pa 2.24
O12 0.8146 0.1854 0.4994  2 Pa 2.24



4.
Material: Ce2Tl3Hg3
Method: DFT, GGA-PBE
State: relaxed

Output
Space group: No. 47

Cell lengths 4.7791, 4.7877, 9.4806 Å; angles 90.00, 90.00, 90.00 degrees
With the nearest neighbours (Å) after each atom.
Sites, in units of the cell vectors:
Ce1 0.0000 0.0000 0.2482  6 Hg 3.35-3.38, 6 Tl 3.36-3.38
Ce2 0.0000 0.0000 0.7518  6 Hg 3.35-3.38, 6 Tl 3.36-3.38
Tl1 0.0000 0.5000 0.0000  4 Ce 3.36, 8 Hg 3.37-3.38
Tl2 0.0000 0.5000 0.5000  4 Hg 3.36, 4 Ce 3.38, 4 Tl 3.38
Tl3 0.5000 0.0000 0.5000  4 Hg 3.36, 4 Ce 3.38, 4 Tl 3.38
Hg1 0.5000 0.0000 0.0000  4 Ce 3.35, 4 Hg 3.38, 4 Tl 3.38
Hg2 0.5000 0.5000 0.2511  6 Tl 3.36-3.37, 2 Hg 3.38, 4 Ce 3.38
Hg3 0.5000 0.5000 0.7489  6 Tl 3.36-3.37, 2 Hg 3.38, 4 Ce 3.38



5.
Material: CsGa2Cl
Method: DFT, GGA-PBE
State: relaxed

Output
Excess energy over the best structure of this formula in the dataset: 530 meV per atom
Formation energy without anion corrections: 16 kJ/mol of formula units
Space group: No. 225

Cell lengths 5.6844, 5.6844, 5.6844 Å; angles 60.00, 60.00, 60.00 degrees
With the nearest neighbours (Å) after each atom.
Sites, in units of the cell vectors:
Cs1 0.0000 0.0000 0.0000  8 Ga 3.48
Ga1 0.2500 0.2500 0.2500  4 Cl 3.48, 4 Cs 3.48
Ga2 0.7500 0.7500 0.7500  4 Cs 3.48, 4 Cl 3.48
Cl1 0.5000 0.5000 0.5000  8 Ga 3.48



6.
Material: LiCdOs2
Method: DFT, GGA-PBE
State: relaxed

Output
Space group: No. 47

Cell lengths 2.8913, 4.4333, 4.7705 Å; angles 90.00, 90.00, 90.00 degrees
With the nearest neighbours (Å) after each atom.
Sites, in units of the cell vectors:
Li1 0.0000 0.0000 0.0000  4 Cd 2.65, 4 Os 2.79, 2 Li 2.89
Cd1 0.5000 0.5000 0.0000  4 Li 2.65, 4 Os 2.79, 2 Cd 2.89
Os1 0.0000 0.5000 0.5000  6 Os 2.65-2.89, 4 Cd 2.79
Os2 0.5000 0.0000 0.5000  6 Os 2.65-2.89, 4 Li 2.79



no.,E (eV/atom),V (Å³ per cell)
1,-6.823,104.8
2,-4.778,592.7
3,-8.149,332.9
4,-2.719,216.9
5,-2.147,129.9
6,-5.918,61.1